NaLi2La2 (PBE, relaxed); energy above the most stable polymorph in this dataset = 0.10 eV per formula unit; energy of formation from the pure elements = 1.24 eV/f.u.; SG = P4/mbm, No. 127
1.0
9.395 0.000 0.000
0.000 9.395 0.000
0.000 0.000 3.546
Na Li La
2 4 4
Cartesian
0.000 0.000 0.000 Na
4.698 4.698 0.000 Na
1.677 3.021 1.773 Li
3.021 7.718 1.773 Li
6.374 1.677 1.773 Li
7.718 6.374 1.773 Li
1.046 5.744 0.000 La
3.652 1.046 0.000 La
5.744 8.349 0.000 La
8.349 3.652 0.000 La